Below is NaSr4Zn2 after structural relaxation, with properties calculated at the PBE level.

Cell: 5.9076 5.9068 17.3374 Å, 90.00 90.00 120.00°
With the nearest neighbours (Å) after each atom.
Positions (direct):
Na1 0.5009 0.0017 0.7500  3 Sr 3.41
Na2 0.4991 0.9983 0.2500  3 Sr 3.41
Sr1 0.8329 0.6659 0.1201  4 Zn 3.21-3.55
Sr2 0.8329 0.6659 0.3799  4 Zn 3.21-3.55
Sr3 0.1671 0.3341 0.8799  4 Zn 3.21-3.55
Sr4 0.1671 0.3341 0.6201  4 Zn 3.21-3.55
Sr5 0.8341 0.6681 0.7500  2 Zn 3.21, 3 Na 3.41
Sr6 0.1659 0.3319 0.2500  2 Zn 3.21, 3 Na 3.41
Sr7 0.5000 0.0000 0.0000  6 Zn 3.59, 6 Sr 3.99-4.00
Sr8 0.5000 0.0000 0.5000  6 Zn 3.59, 6 Sr 3.99-4.00
Zn1 0.1669 0.3339 0.4350  6 Sr 3.21-3.59
Zn2 0.8331 0.6661 0.9350  6 Sr 3.21-3.59
Zn3 0.1669 0.3339 0.0650  6 Sr 3.21-3.59
Zn4 0.8331 0.6661 0.5650  6 Sr 3.21-3.59

Output
* relative energy among the computed polymorphs: 0 meV/atom
* E: -1.57 eV per atom
* SG: Cmcm

Below is Na3Sr2Zn2 after structural relaxation, with properties calculated at the PBE level.

Cell: 4.3279 4.5135 12.5816 Å, 100.33 90.00 90.00°
With the nearest neighbours (Å) after each atom.
Positions (direct):
Na1 0.5000 0.5792 0.1584  1 Zn 3.55, 5 Na 3.69-3.92, 4 Sr 3.92
Na2 0.5000 0.4208 0.8416  1 Zn 3.55, 5 Na 3.69-3.92, 4 Sr 3.92
Na3 0.0000 0.0000 0.0000  8 Na 3.69
Sr1 0.0000 0.8251 0.6503  6 Zn 3.34
Sr2 0.0000 0.1749 0.3497  6 Zn 3.34
Zn1 0.5000 0.7226 0.4453  2 Zn 2.63
Zn2 0.5000 0.2774 0.5547  2 Zn 2.63

Output
* E: -1.52 eV per atom
* SG: Cmmm

Below is NaSrZn10 after structural relaxation, with properties calculated at the PBE level.

Cell: 4.3022 5.4490 9.4217 Å, 90.00 90.00 90.00°
With the nearest neighbours (Å) after each atom.
Positions (direct):
Na1 0.0000 0.0000 0.0000  6 Zn 2.99-3.09
Sr1 0.0000 0.5000 0.5000  18 Zn 3.22-3.47
Zn1 0.0000 0.0000 0.3178  6 Zn 2.63-2.75
Zn2 0.0000 0.5000 0.8446  6 Zn 2.60-2.69
Zn3 0.0000 0.5000 0.1554  6 Zn 2.60-2.69
Zn4 0.0000 0.0000 0.6822  6 Zn 2.63-2.75
Zn5 0.5000 0.0000 0.5000  8 Zn 2.72-2.75
Zn6 0.5000 0.5000 0.0000  8 Zn 2.60-2.73
Zn7 0.5000 0.2528 0.2515  8 Zn 2.63-2.76
Zn8 0.5000 0.7472 0.7485  8 Zn 2.63-2.76
Zn9 0.5000 0.7472 0.2515  8 Zn 2.63-2.76
Zn10 0.5000 0.2528 0.7485  8 Zn 2.63-2.76

Output
* E: -1.42 eV per atom
* SG: Pmmm

Below is Na2SrZn2 after structural relaxation, with properties calculated at the PBE level.

Cell: 8.1184 8.1184 4.6116 Å, 90.00 90.00 90.00°
With the nearest neighbours (Å) after each atom.
Positions (direct):
Sr1 0.0000 0.0000 0.0000  4 Zn 3.28
Sr2 0.5000 0.5000 0.0000  4 Zn 3.28
Zn1 0.3880 0.8880 0.0000  1 Zn 2.57
Zn2 0.8880 0.6120 0.0000  1 Zn 2.57
Zn3 0.6120 0.1120 0.0000  1 Zn 2.57
Zn4 0.1120 0.3880 0.0000  1 Zn 2.57
Na1 0.1660 0.6660 0.5000  6 Zn 3.26-3.44
Na2 0.6660 0.8340 0.5000  6 Zn 3.26-3.44
Na3 0.8340 0.3340 0.5000  6 Zn 3.26-3.44
Na4 0.3340 0.1660 0.5000  6 Zn 3.26-3.44

Output
* relative energy among the computed polymorphs: 68 meV/atom
* E: -1.34 eV per atom
* SG: P4/mbm

Below is NaSr3Zn2 after structural relaxation, with properties calculated at the PBE level.

Cell: 3.9730 3.9730 13.2568 Å, 90.00 90.00 90.00°
With the nearest neighbours (Å) after each atom.
Positions (direct):
Na1 0.5000 0.5000 0.5000  4 Na 3.97, 8 Sr 3.99
Sr1 0.0000 0.0000 0.0000  8 Zn 3.44, 2 Sr 3.80
Sr2 0.0000 0.0000 0.7135  4 Zn 3.34
Sr3 0.0000 0.0000 0.2865  4 Zn 3.34
Zn1 0.5000 0.5000 0.8498  8 Sr 3.34-3.44
Zn2 0.5000 0.5000 0.1502  8 Sr 3.34-3.44

Output
* E: -1.62 eV per atom
* SG: P4/mmm

Below is NaSr2Zn after structural relaxation, with properties calculated at the PBE level.

Cell: 4.3799 4.3799 10.6604 Å, 78.15 78.15 60.00°
With the nearest neighbours (Å) after each atom.
Positions (direct):
Na1 0.5008 0.5008 0.4975  6 Sr 4.04-4.08, 6 Na 4.38
Sr1 0.0642 0.0642 0.8073  3 Zn 3.23
Sr2 0.2687 0.2687 0.1939  3 Zn 3.22
Zn1 0.6662 0.6662 0.0013  6 Sr 3.22-3.23

Output
* E: -1.48 eV per atom
* SG: R3m

Below is Na3Sr6Zn after structural relaxation, with properties calculated at the PBE level.

Cell: 6.2813 10.8533 13.1354 Å, 90.00 90.00 90.00°
With the nearest neighbours (Å) after each atom.
Positions (direct):
Na1 0.5002 0.8455 0.7337  3 Sr 3.61-3.65
Na2 0.5000 0.5000 0.0000  4 Sr 3.47-3.88
Na3 0.4998 0.1545 0.2663  3 Sr 3.61-3.65
Na4 0.0002 0.6545 0.2337  3 Sr 3.61-3.65
Na5 0.0000 0.0000 0.5000  4 Sr 3.47-3.88
Na6 0.9998 0.3455 0.7663  3 Sr 3.61-3.65
Sr1 0.5001 0.1541 0.9258  2 Zn 3.69, 5 Sr 3.87-4.10, 1 Na 3.88
Sr2 0.5001 0.1898 0.5794  1 Zn 3.52, 2 Na 3.90
Sr3 0.5001 0.4875 0.2641  1 Zn 3.10, 1 Na 3.47
Sr4 0.4999 0.5125 0.7359  1 Zn 3.10, 1 Na 3.47
Sr5 0.4999 0.8102 0.4206  1 Zn 3.52, 2 Na 3.90
Sr6 0.4999 0.8459 0.0742  2 Zn 3.69, 5 Sr 3.87-4.10, 1 Na 3.88
Sr7 0.0001 0.3459 0.4258  2 Zn 3.69, 5 Sr 3.87-4.10, 1 Na 3.88
Sr8 0.0001 0.3102 0.0794  1 Zn 3.52, 2 Na 3.90
Sr9 0.0001 0.0125 0.7641  1 Zn 3.10, 1 Na 3.47
Sr10 0.9999 0.9875 0.2359  1 Zn 3.10, 1 Na 3.47
Sr11 0.9999 0.6898 0.9206  1 Zn 3.52, 2 Na 3.90
Sr12 0.9999 0.6541 0.5742  2 Zn 3.69, 5 Sr 3.87-4.10, 1 Na 3.88
Zn1 0.5000 0.5000 0.5000  2 Sr 3.10
Zn2 0.0000 0.0000 0.0000  2 Sr 3.10

Output
* E: -1.49 eV per atom
* SG: Pnnm

Below is NaSr6Zn2 after structural relaxation, with properties calculated at the PBE level.

Cell: 9.9557 9.9557 9.9557 Å, 105.85 110.49 112.13°
With the nearest neighbours (Å) after each atom.
Positions (direct):
Na1 0.0000 0.5000 0.5000  12 Sr 3.99-4.27
Na2 0.0000 0.0000 0.0000  8 Sr 3.71-3.83
Sr1 0.5262 0.7137 0.8125  3 Zn 3.45-3.84, 1 Na 3.83
Sr2 0.4738 0.2863 0.1875  3 Zn 3.45-3.84, 1 Na 3.83
Sr3 0.0988 0.2863 0.8125  3 Zn 3.45-3.84, 1 Na 3.83
Sr4 0.9012 0.7137 0.1875  3 Zn 3.45-3.84, 1 Na 3.83
Sr5 0.7857 0.7668 0.5525  2 Zn 3.35-3.75, 1 Na 3.71
Sr6 0.2143 0.2332 0.4475  2 Zn 3.35-3.75, 1 Na 3.71
Sr7 0.2143 0.7668 0.9811  2 Zn 3.35-3.75, 1 Na 3.71
Sr8 0.7857 0.2332 0.0189  2 Zn 3.35-3.75, 1 Na 3.71
Sr9 0.6995 0.3816 0.6821  3 Zn 3.34-3.41
Sr10 0.3005 0.6184 0.3179  3 Zn 3.34-3.41
Sr11 0.3005 0.9826 0.6821  3 Zn 3.34-3.41
Sr12 0.6995 0.0174 0.3179  3 Zn 3.34-3.41
Zn1 0.5000 0.3899 0.8899  1 Zn 2.64
Zn2 0.5000 0.6101 0.1101  1 Zn 2.64
Zn3 0.6232 0.0000 0.6232  1 Zn 2.80
Zn4 0.3768 0.0000 0.3768  1 Zn 2.80

Output
* E: -1.63 eV per atom
* SG: Immm

no.,DFT formation energy (eV per atom)
1,-0.0541
2,-0.1068
3,-0.1090
4,0.0337
5,-0.1303
6,0.0049
7,0.0384
8,-0.0811